# Na2SnPdS4

A relaxed structure of Na2SnPdS4 (PBE, Alexandria).

- calculated volume (Å³/cell) = 163
- density (Mg/m³) = 4.08
- formation energy without anion corrections (eV/atom) = -0.62
- crystal system = monoclinic

Unit cell a=3.7985 b=6.4592 c=6.9672 alpha=107.87 beta=90.00 gamma=90.00
Last column: nearest neighbours and their distance in Å.
Positions (direct):
S: 0.5000 0.7531 0.7844  1 Pd 2.54, 2 Sn 2.63
S: 0.0000 0.2657 0.7966  1 Sn 2.54, 2 Pd 2.57
S: 0.0000 0.7343 0.2034  1 Sn 2.54, 2 Pd 2.57
S: 0.5000 0.2469 0.2156  1 Pd 2.54, 2 Sn 2.63
Pd: 0.5000 0.5000 0.0000  6 S 2.54-2.57
Na: 0.0000 0.5000 0.5000  6 S 2.87-2.91
Na: 0.5000 0.0000 0.5000  6 S 2.90-2.94
Sn: 0.0000 0.0000 0.0000  6 S 2.54-2.63


# NaSr2PdS

A relaxed structure of NaSr2PdS (PBE, Alexandria).

- calculated volume (Å³/cell) = 167
- density (Mg/m³) = 3.34
- formation energy without anion corrections (eV/atom) = -0.44
- crystal system = tetragonal

Unit cell a=5.7417 b=5.0728 c=5.7417 alpha=90.00 beta=90.00 gamma=90.00
Last column: nearest neighbours and their distance in Å.
Positions (direct):
Pd: 0.0000 0.0000 0.0000  2 Na 2.54
Sr: 0.0000 0.0000 0.5000  2 Pd 2.87
Sr: 0.5000 0.0000 0.0000  2 Pd 2.87
S: 0.5000 0.5000 0.5000  8 Sr 3.83, 4 Na 4.06
Na: 0.0000 0.5000 0.0000  2 Pd 2.54


# Na3TaPd2S6

A relaxed structure of Na3TaPd2S6 (PBE, Alexandria).

- calculated volume (Å³/cell) = 233
- density (Mg/m³) = 4.68
- formation energy without anion corrections (eV/atom) = -0.71
- crystal system = monoclinic

Unit cell a=6.4566 b=6.4566 c=6.8355 alpha=98.52 beta=98.52 gamma=121.10
Last column: nearest neighbours and their distance in Å.
Positions (direct):
Na: 0.1742 0.8258 0.5000  6 S 2.87-2.89
Na: 0.8258 0.1742 0.5000  6 S 2.87-2.89
Na: 0.5000 0.5000 0.5000  6 S 2.85-2.88
S: 0.9237 0.6041 0.7967  2 Pd 2.48-2.63, 1 Ta 2.48
S: 0.2461 0.2461 0.7854  1 Ta 2.44, 2 Pd 2.58
S: 0.3959 0.0763 0.2033  2 Pd 2.48-2.63, 1 Ta 2.48
S: 0.7539 0.7539 0.2146  1 Ta 2.44, 2 Pd 2.58
S: 0.6041 0.9237 0.7967  2 Pd 2.48-2.63, 1 Ta 2.48
S: 0.0763 0.3959 0.2033  2 Pd 2.48-2.63, 1 Ta 2.48
Pd: 0.6619 0.3381 0.0000  6 S 2.48-2.63
Pd: 0.3381 0.6619 0.0000  6 S 2.48-2.63
Ta: 0.0000 0.0000 0.0000  6 S 2.44-2.48


# Na3Te3PdS8

A relaxed structure of Na3Te3PdS8 (PBE, Alexandria).

- calculated volume (Å³/cell) = 367
- density (Mg/m³) = 3.69
- formation energy without anion corrections (eV/atom) = -0.33
- crystal system = monoclinic

Unit cell a=7.4546 b=8.3705 c=7.9363 alpha=120.15 beta=90.00 gamma=116.44
Last column: nearest neighbours and their distance in Å.
Positions (direct):
Te: 0.5000 0.5000 0.5000  6 S 2.65-2.76
Te: 0.5000 0.0000 0.5000  4 S 2.65
Te: 0.0000 0.5000 0.5000  6 S 2.65-2.76
S: 0.3010 0.6020 0.7775  2 Te 2.65, 2 Na 2.95
S: 0.8060 0.0621 0.3277  1 Pd 2.37, 1 Te 2.65
S: 0.2259 0.4519 0.2405  2 Te 2.65, 3 Na 2.80-2.83
S: 0.1940 0.9379 0.6723  1 Pd 2.37, 1 Te 2.65
S: 0.2561 0.0621 0.3277  1 Pd 2.37, 1 Te 2.65
S: 0.7439 0.9379 0.6723  1 Pd 2.37, 1 Te 2.65
S: 0.6990 0.3980 0.2225  2 Te 2.65, 2 Na 2.95
S: 0.7741 0.5481 0.7595  2 Te 2.65, 3 Na 2.80-2.83
Na: 0.0000 0.0000 0.0000  6 S 2.80-2.90
Na: 0.5000 0.5000 0.0000  4 S 2.83-2.95
Na: 0.0000 0.5000 0.0000  4 S 2.83-2.95
Pd: 0.0000 0.0000 0.5000  4 S 2.37


# Na2TePdS4

A relaxed structure of Na2TePdS4 (PBE, Alexandria).

- calculated volume (Å³/cell) = 219
- density (Mg/m³) = 3.09
- formation energy without anion corrections (eV/atom) = -0.35
- crystal system = monoclinic

Unit cell a=6.0503 b=6.0553 c=7.3621 alpha=114.32 beta=114.30 gamma=89.95
Last column: nearest neighbours and their distance in Å.
Positions (direct):
Na: 0.2362 0.2361 0.4724  4 S 2.81-2.82
Na: 0.4860 0.9859 0.9720  4 S 2.85
S: 0.6707 0.6043 0.7252  1 Pd 2.38, 1 Te 2.47
S: 0.0544 0.1210 0.7254  1 Pd 2.38, 1 Te 2.47
S: 0.3504 0.8009 0.2180  1 Pd 2.38, 1 Te 2.47
S: 0.8680 0.4172 0.2180  1 Pd 2.38, 1 Te 2.47
Te: 0.7358 0.7357 0.4716  4 S 2.47
Pd: 0.9857 0.4860 0.9715  4 S 2.38


# Na4Th3PdS8

A relaxed structure of Na4Th3PdS8 (PBE, Alexandria).

- calculated volume (Å³/cell) = 385
- density (Mg/m³) = 4.97
- formation energy without anion corrections (eV/atom) = -1.46
- crystal system = monoclinic

Unit cell a=8.0407 b=8.1646 c=8.2059 alpha=120.03 beta=119.34 gamma=90.00
Last column: nearest neighbours and their distance in Å.
Positions (direct):
S: 0.2640 0.2780 0.0253  2 Th 2.77-2.78, 1 Pd 2.79, 3 Na 2.95-3.08
S: 0.2559 0.2599 0.5118  3 Th 2.84-2.86, 3 Na 2.89-3.00
S: 0.7441 0.7401 0.4882  3 Th 2.84-2.86, 3 Na 2.89-3.00
S: 0.7413 0.2582 0.4825  2 Th 2.77, 3 Na 2.83-2.97, 1 Pd 3.03
S: 0.2587 0.7418 0.5175  2 Th 2.77, 3 Na 2.83-2.97, 1 Pd 3.03
S: 0.2387 0.7220 0.9747  2 Th 2.77-2.78, 1 Pd 2.79, 3 Na 2.95-3.08
S: 0.7613 0.2780 0.0253  2 Th 2.77-2.78, 1 Pd 2.79, 3 Na 2.95-3.08
S: 0.7360 0.7220 0.9747  2 Th 2.77-2.78, 1 Pd 2.79, 3 Na 2.95-3.08
Na: 0.0000 0.0000 0.0000  6 S 2.97-3.00
Na: 0.0000 0.0000 0.5000  6 S 2.89-3.08
Na: 0.5000 0.0000 0.5000  6 S 2.89-3.08
Na: 0.5000 0.0000 0.0000  6 S 2.83-2.95
Th: 0.5000 0.5000 0.5000  6 S 2.77-2.84
Th: 0.5000 0.5000 0.0000  6 S 2.77-2.86
Th: 0.0000 0.5000 0.5000  6 S 2.77-2.84
Pd: 0.0000 0.5000 0.0000  6 S 2.79-3.03


# Na3Th2PdS6

A relaxed structure of Na3Th2PdS6 (PBE, Alexandria).

- calculated volume (Å³/cell) = 283
- density (Mg/m³) = 4.88
- formation energy without anion corrections (eV/atom) = -1.40
- crystal system = monoclinic

Unit cell a=7.0023 b=7.0023 c=7.0702 alpha=98.68 beta=98.68 gamma=120.96
Last column: nearest neighbours and their distance in Å.
Positions (direct):
Pd: 0.0000 0.0000 0.0000  2 S 2.60
Na: 0.5000 0.5000 0.5000  6 S 2.98-3.05
Na: 0.1593 0.8407 0.5000  6 S 2.90-2.94
Na: 0.8407 0.1593 0.5000  6 S 2.90-2.94
Th: 0.6683 0.3317 0.0000  6 S 2.75-2.82
Th: 0.3317 0.6683 0.0000  6 S 2.75-2.82
S: 0.5733 0.9214 0.7598  2 Th 2.75-2.79, 3 Na 2.90-2.98, 1 Pd 2.93
S: 0.7545 0.7545 0.2145  1 Pd 2.60, 2 Th 2.82
S: 0.2455 0.2455 0.7855  1 Pd 2.60, 2 Th 2.82
S: 0.0786 0.4267 0.2402  2 Th 2.75-2.79, 3 Na 2.90-2.98, 1 Pd 2.93
S: 0.4267 0.0786 0.2402  2 Th 2.75-2.79, 3 Na 2.90-2.98, 1 Pd 2.93
S: 0.9214 0.5733 0.7598  2 Th 2.75-2.79, 3 Na 2.90-2.98, 1 Pd 2.93


# NaTl2Pd7S2

A relaxed structure of NaTl2Pd7S2 (PBE, Alexandria).

- calculated volume (Å³/cell) = 228
- density (Mg/m³) = 9.04
- formation energy without anion corrections (eV/atom) = -0.24
- crystal system = monoclinic

Unit cell a=4.5536 b=4.5536 c=11.1044 alpha=90.91 beta=90.91 gamma=81.78
Last column: nearest neighbours and their distance in Å.
Positions (direct):
Pd: 0.1609 0.6599 0.7706  2 S 2.34-2.37
Pd: 0.6393 0.6393 0.6010  1 S 2.47, 1 Tl 2.73
Pd: 0.3401 0.8391 0.2294  2 S 2.34-2.37
Pd: 0.6599 0.1609 0.7706  2 S 2.34-2.37
Pd: 0.5000 0.5000 0.0000  2 S 2.29
Pd: 0.8391 0.3401 0.2294  2 S 2.34-2.37
Pd: 0.3607 0.3607 0.3990  1 S 2.47, 1 Tl 2.73
Tl: 0.8420 0.8420 0.3928  7 Pd 2.73-2.98
Tl: 0.1580 0.1580 0.6072  7 Pd 2.73-2.98
Na: 0.0000 0.0000 0.0000  6 Pd 2.98-3.01, 2 S 2.99
S: 0.6656 0.6656 0.8235  6 Pd 2.29-2.47
S: 0.3344 0.3344 0.1765  6 Pd 2.29-2.47


# NaU2PdS4

A relaxed structure of NaU2PdS4 (PBE, Alexandria).

- calculated volume (Å³/cell) = 352
- density (Mg/m³) = 6.92
- formation energy without anion corrections (eV/atom) = -1.21
- crystal system = orthorhombic

Unit cell a=3.9280 b=6.7087 c=13.9716 alpha=90.00 beta=90.00 gamma=107.02
Last column: nearest neighbours and their distance in Å.
Positions (direct):
S: 0.4455 0.8910 0.7500  2 Pd 2.48, 2 U 2.73
S: 0.7256 0.4513 0.6055  1 Pd 2.40
S: 0.7256 0.4513 0.8945  1 Pd 2.40
S: 0.0000 0.0000 0.0000  4 U 2.77
S: 0.5545 0.1090 0.2500  2 Pd 2.48, 2 U 2.73
S: 0.2744 0.5487 0.1055  1 Pd 2.40
S: 0.2744 0.5487 0.3945  1 Pd 2.40
S: 0.0000 0.0000 0.5000  4 U 2.77
Pd: 0.1731 0.3463 0.2500  4 S 2.40-2.48
Pd: 0.8269 0.6537 0.7500  4 S 2.40-2.48
U: 0.3675 0.7349 0.5684  6 S 2.71-2.77
U: 0.3675 0.7349 0.9316  6 S 2.71-2.77
U: 0.6325 0.2651 0.4316  6 S 2.71-2.77
U: 0.6325 0.2651 0.0684  6 S 2.71-2.77
Na: 0.8865 0.7730 0.2500  6 S 2.92-3.16
Na: 0.1135 0.2270 0.7500  6 S 2.92-3.16


# NaU2PdS6

A relaxed structure of NaU2PdS6 (PBE, Alexandria).

- calculated volume (Å³/cell) = 219
- density (Mg/m³) = 6.05
- formation energy without anion corrections (eV/atom) = -0.77
- crystal system = tetragonal

Unit cell a=7.1214 b=5.5476 c=5.5476 alpha=90.00 beta=90.00 gamma=90.00
Last column: nearest neighbours and their distance in Å.
Positions (direct):
S: 0.7648 0.7561 0.2439  1 Pd 2.61, 2 U 2.69, 4 S 2.71-2.84, 1 Na 2.74
S: 0.7648 0.7561 0.7561  1 Pd 2.61, 2 U 2.69, 4 S 2.71-2.84, 1 Na 2.74
S: 0.1801 0.0000 0.0000  1 Pd 2.40
S: 0.1413 0.5000 0.5000  1 Na 2.58
S: 0.7648 0.2439 0.7561  1 Pd 2.61, 2 U 2.69, 4 S 2.71-2.84, 1 Na 2.74
S: 0.7648 0.2439 0.2439  1 Pd 2.61, 2 U 2.69, 4 S 2.71-2.84, 1 Na 2.74
U: 0.0232 0.5000 0.0000  8 S 2.69-2.99
U: 0.0232 0.0000 0.5000  8 S 2.69-2.99
Na: 0.5034 0.5000 0.5000  5 S 2.58-2.74
Pd: 0.5165 0.0000 0.0000  5 S 2.40-2.61